[1]
# BeS2F, optimized geometry, DFT GGA-PBE
# Relative energy among the computed polymorphs: 0.013 eV per atom
# Crystal system: tetragonal
# Fermi-level density of states: 0.228 states/eV per atom
data_BeS2F
_cell_length_a 4.341
_cell_length_b 4.341
_cell_length_c 13.243
_cell_angle_alpha 90.00
_cell_angle_beta 90.00
_cell_angle_gamma 90.00
_symmetry_space_group_name_H-M 'I -4 2 d'
_symmetry_Int_Tables_number 122
_symmetry_space_group_name_Hall 'I -4 2bw'
loop_
_atom_site_label
_atom_site_type_symbol
_atom_site_fract_x
_atom_site_fract_y
_atom_site_fract_z
_atom_site_occupancy
Be1 Be 0.000 0.000 0.000 1
S1 S 0.137 0.250 0.125 1
F1 F 0.000 0.000 0.500 1

=====

[2]
# Ba12NaTl6, optimized geometry, DFT GGA-PBE
# Crystal system: trigonal
# Calculated formation energy: -0.1648 eV per atom
# Fermi-level density of states: 1.233 states/eV per atom
data_Ba12NaTl6
_cell_length_a 17.6555
_cell_length_b 17.6555
_cell_length_c 10.2946
_cell_angle_alpha 90.00
_cell_angle_beta 90.00
_cell_angle_gamma 120.00
_symmetry_space_group_name_H-M 'R -3'
_symmetry_Int_Tables_number 148
_symmetry_space_group_name_Hall '-R 3'
loop_
_atom_site_label
_atom_site_type_symbol
_atom_site_fract_x
_atom_site_fract_y
_atom_site_fract_z
_atom_site_occupancy
Ba1 Ba 0.0377 0.8569 0.3483 1
Ba2 Ba 0.0665 0.5871 0.6368 1
Na1 Na 0.0000 0.0000 0.0000 1
Tl1 Tl 0.0149 0.7505 0.6471 1

=====

[3]
# NpI2Br, optimized geometry, DFT GGA-PBE
# Relative energy among the computed polymorphs: 0.000 eV per atom
# Crystal system: triclinic
# Fermi-level density of states: 1.869 states/eV per atom
data_NpI2Br
_cell_length_a 4.497
_cell_length_b 5.743
_cell_length_c 8.546
_cell_angle_alpha 88.77
_cell_angle_beta 74.76
_cell_angle_gamma 89.30
_symmetry_space_group_name_H-M 'P -1'
_symmetry_Int_Tables_number 2
_symmetry_space_group_name_Hall '-P 1'
loop_
_atom_site_label
_atom_site_type_symbol
_atom_site_fract_x
_atom_site_fract_y
_atom_site_fract_z
_atom_site_occupancy
Np1 Np 0.000 0.000 0.000 1
I1 I 0.370 0.993 0.261 1
Br1 Br 0.000 0.500 0.000 1

=====

[4]
# CaNp2N4, optimized geometry, DFT GGA-PBE
# Relative energy among the computed polymorphs: 0.429 eV per atom
# Crystal system: monoclinic
# Fermi-level density of states: 0.828 states/eV per atom
data_CaNp2N4
_cell_length_a 6.116
_cell_length_b 6.513
_cell_length_c 6.241
_cell_angle_alpha 90.00
_cell_angle_beta 104.37
_cell_angle_gamma 90.00
_symmetry_space_group_name_H-M 'C 1 m 1'
_symmetry_Int_Tables_number 8
_symmetry_space_group_name_Hall 'C -2y'
loop_
_atom_site_label
_atom_site_type_symbol
_atom_site_fract_x
_atom_site_fract_y
_atom_site_fract_z
_atom_site_occupancy
Ca1 Ca 0.000 0.000 0.000 1
Np1 Np 0.050 0.264 0.461 1
N1 N 0.279 0.263 0.211 1
N2 N 0.282 0.000 0.574 1
N3 N 0.303 0.500 0.619 1